# GGA-PBEsol ZrZnAu, optimized geometry
# space-group type: F-43m (216)
# total moment: 0.00 μB per atom
# energy of formation: -0.1586 eV/atom
data_ZrZnAu
_symmetry_space_group_name_H-M 'P 1'
_symmetry_Int_Tables_number 1
_cell_length_a 4.312
_cell_length_b 4.312
_cell_length_c 4.312
_cell_angle_alpha 60.00
_cell_angle_beta 60.00
_cell_angle_gamma 60.00
loop_
_symmetry_equiv_pos_as_xyz
'x,y,z'
loop_
_atom_site_label
_atom_site_fract_x
_atom_site_fract_y
_atom_site_fract_z
Zr1 0.000 0.000 0.000
Au1 0.500 0.500 0.500
Zn1 0.250 0.250 0.250



# GGA-PBEsol ReP2Pb, optimized geometry
# space-group type: Imm2 (44)
# total moment: 0.00 μB per atom
# energy of formation: 0.0845 eV/atom
data_ReP2Pb
_symmetry_space_group_name_H-M 'P 1'
_symmetry_Int_Tables_number 1
_cell_length_a 3.029
_cell_length_b 3.140
_cell_length_c 8.111
_cell_angle_alpha 101.16
_cell_angle_beta 100.76
_cell_angle_gamma 90.00
loop_
_symmetry_equiv_pos_as_xyz
'x,y,z'
loop_
_atom_site_label
_atom_site_fract_x
_atom_site_fract_y
_atom_site_fract_z
P1 0.728 0.228 0.455
P2 0.914 0.914 0.827
Re1 0.297 0.797 0.594
Pb1 0.561 0.561 0.123



# GGA-PBEsol RbSbNF2, optimized geometry
# space-group type: P4/mmm (123)
# formation energy (no corrections): -1.296 eV/atom
# total moment: 0.00 μB per atom
data_RbSbNF2
_symmetry_space_group_name_H-M 'P 1'
_symmetry_Int_Tables_number 1
_cell_length_a 4.014
_cell_length_b 4.607
_cell_length_c 4.607
_cell_angle_alpha 90.00
_cell_angle_beta 90.00
_cell_angle_gamma 90.00
loop_
_symmetry_equiv_pos_as_xyz
'x,y,z'
loop_
_atom_site_label
_atom_site_fract_x
_atom_site_fract_y
_atom_site_fract_z
Sb1 0.000 0.000 0.000
F1 0.000 0.000 0.500
F2 0.000 0.500 0.000
Rb1 0.500 0.500 0.500
N1 0.500 0.000 0.000



# GGA-PBEsol Be3CoAu, optimized geometry
# space-group type: Pm-3m (221)
# total moment: 0.00 μB per atom
# energy of formation: 0.4870 eV/atom
data_Be3CoAu
_symmetry_space_group_name_H-M 'P 1'
_symmetry_Int_Tables_number 1
_cell_length_a 3.884
_cell_length_b 3.884
_cell_length_c 3.884
_cell_angle_alpha 90.00
_cell_angle_beta 90.00
_cell_angle_gamma 90.00
loop_
_symmetry_equiv_pos_as_xyz
'x,y,z'
loop_
_atom_site_label
_atom_site_fract_x
_atom_site_fract_y
_atom_site_fract_z
Be1 0.000 0.500 0.000
Be2 0.500 0.000 0.000
Be3 0.000 0.000 0.500
Au1 0.500 0.500 0.500
Co1 0.000 0.000 0.000



# GGA-PBEsol K2AlP, optimized geometry
# space-group type: Pmmm (47)
# polymorph energy (0 for the lowest one): 12 meV per atom
# total moment: 0.00 μB per atom
# energy of formation: 0.2743 eV/atom
data_K2AlP
_symmetry_space_group_name_H-M 'P 1'
_symmetry_Int_Tables_number 1
_cell_length_a 3.049
_cell_length_b 5.108
_cell_length_c 6.435
_cell_angle_alpha 90.00
_cell_angle_beta 90.00
_cell_angle_gamma 90.00
loop_
_symmetry_equiv_pos_as_xyz
'x,y,z'
loop_
_atom_site_label
_atom_site_fract_x
_atom_site_fract_y
_atom_site_fract_z
P1 0.500 0.500 0.000
K1 0.000 0.000 0.775
K2 0.000 0.000 0.225
Al1 0.500 0.500 0.500



# GGA-PBEsol Bi2AuCl, optimized geometry
# space-group type: Fm-3m (225)
# formation energy (no corrections): -0.140 eV/atom
# total moment: 0.00 μB per atom
data_Bi2AuCl
_symmetry_space_group_name_H-M 'P 1'
_symmetry_Int_Tables_number 1
_cell_length_a 5.063
_cell_length_b 5.063
_cell_length_c 5.063
_cell_angle_alpha 60.00
_cell_angle_beta 60.00
_cell_angle_gamma 60.00
loop_
_symmetry_equiv_pos_as_xyz
'x,y,z'
loop_
_atom_site_label
_atom_site_fract_x
_atom_site_fract_y
_atom_site_fract_z
Au1 0.500 0.500 0.500
Bi1 0.750 0.750 0.750
Bi2 0.250 0.250 0.250
Cl1 0.000 0.000 0.000



# GGA-PBEsol Nb2SbH, optimized geometry
# space-group type: Fm-3m (225)
# uncorrected energy: -6.86 eV/atom
# total moment: 0.00 μB per atom
data_Nb2SbH
_symmetry_space_group_name_H-M 'P 1'
_symmetry_Int_Tables_number 1
_cell_length_a 4.514
_cell_length_b 4.514
_cell_length_c 4.514
_cell_angle_alpha 60.00
_cell_angle_beta 60.00
_cell_angle_gamma 60.00
loop_
_symmetry_equiv_pos_as_xyz
'x,y,z'
loop_
_atom_site_label
_atom_site_fract_x
_atom_site_fract_y
_atom_site_fract_z
Nb1 0.750 0.750 0.750
Nb2 0.250 0.250 0.250
Sb1 0.500 0.500 0.500
H1 0.000 0.000 0.000



# GGA-PBEsol LaMnBe2, optimized geometry
# space-group type: P4/mmm (123)
# polymorph energy (0 for the lowest one): 220 meV per atom
# total moment: 0.93 μB per atom
# energy of formation: 0.6968 eV/atom
data_LaMnBe2
_symmetry_space_group_name_H-M 'P 1'
_symmetry_Int_Tables_number 1
_cell_length_a 3.007
_cell_length_b 4.679
_cell_length_c 4.679
_cell_angle_alpha 90.00
_cell_angle_beta 90.00
_cell_angle_gamma 90.00
loop_
_symmetry_equiv_pos_as_xyz
'x,y,z'
loop_
_atom_site_label
_atom_site_fract_x
_atom_site_fract_y
_atom_site_fract_z
La1 0.500 0.500 0.500
Mn1 0.500 0.000 0.000
Be1 0.000 0.500 0.000
Be2 0.000 0.000 0.500



Look up the total moment of the third one.
0.00 μB per atom